[1]
Nd2SmGa2Ni2 after structural relaxation, computed with PBE-GGA.

Lattice parameters (Å, degrees): 10.112 10.112 10.112 24.82 24.82 24.82
Fractional coordinates of all 7 atoms:
Nd 0.119 0.119 0.119
Nd 0.881 0.881 0.881
Sm 0.000 0.000 0.000
Ga 0.271 0.271 0.271
Ga 0.729 0.729 0.729
Ni 0.396 0.396 0.396
Ni 0.604 0.604 0.604

Calculated values
calculated formation energy	-0.4533	eV per atom
Fermi-level density of states	7.9	states/eV/cell

[2]
NdGa2Ni5Sn after structural relaxation, computed with PBE-GGA.

Lattice parameters (Å, degrees): 4.462 4.462 7.280 90.00 90.00 90.00
Fractional coordinates of all 9 atoms:
Nd 0.000 0.000 0.000
Ga 0.500 0.500 0.330
Ga 0.500 0.500 0.670
Ni 0.000 0.500 0.243
Ni 0.000 0.500 0.757
Ni 0.500 0.000 0.243
Ni 0.500 0.000 0.757
Ni 0.500 0.500 0.000
Sn 0.000 0.000 0.500

Calculated values
calculated formation energy	-0.0774	eV per atom
Fermi-level density of states	7.0	states/eV/cell

[3]
Nd2Ga3Ni4Sn after structural relaxation, computed with PBE-GGA.

Lattice parameters (Å, degrees): 4.269 4.269 9.836 90.00 90.00 90.00
Fractional coordinates of all 10 atoms:
Nd 0.000 0.500 0.238
Nd 0.500 0.000 0.762
Ga 0.000 0.500 0.884
Ga 0.500 0.000 0.116
Ga 0.500 0.500 0.500
Ni 0.000 0.000 0.000
Ni 0.000 0.500 0.641
Ni 0.500 0.000 0.359
Ni 0.500 0.500 0.000
Sn 0.000 0.000 0.500

Calculated values
calculated formation energy	-0.5415	eV per atom
Fermi-level density of states	7.9	states/eV/cell